1.
Compound: BaTbCo
Source: OQMD via LeMat-Bulk
Functional: GGA-PBE
Structure: optimized geometry

The calculation puts the magnetic moment at 0.1 μB per cell. The value obtained for the energy above the most stable polymorph in this dataset is 18.66 kcal/mol of atoms. As for the space group: F-43m. Its calculated volume is 81.8 Å³/f.u.

abc: 4.8717 4.8717 4.8717
angles: 60.00 60.00 60.00
Fractional coordinates of all 3 atoms:
Co 0.2500 0.2500 0.2500
Ba 0.0000 0.0000 0.0000
Tb 0.7500 0.7500 0.7500

=====

2.
Compound: Ga2Ir8Pd
Source: OQMD via LeMat-Bulk
Functional: GGA-PBE
Structure: optimized geometry

The calculation puts the magnetic moment at 0.0 μB per cell. Its raw total energy is -0.5170 Ry/atom. As for the space group: C2/m. Its calculated volume is 209.8 Å³/f.u.

abc: 6.5499 6.5499 5.0960
angles: 95.05 95.05 74.93
Fractional coordinates of all 11 atoms:
Ga 0.2444 0.2444 0.3201
Ir 0.4045 0.8522 0.9467
Ga 0.7556 0.7556 0.6799
Ir 0.2227 0.2227 0.7882
Pd 0.0000 0.0000 0.0000
Ir 0.5955 0.1478 0.0533
Ir 0.8522 0.4045 0.9467
Ir 0.1478 0.5955 0.0533
Ir 0.7773 0.7773 0.2118
Ir 0.5252 0.5252 0.2709
Ir 0.4748 0.4748 0.7291

=====

3.
Compound: CdBiSb
Source: OQMD via LeMat-Bulk
Functional: GGA-PBE
Structure: optimized geometry

The value obtained for the energy above the most stable polymorph in this dataset is 0.00 kcal/mol of atoms. As for the space group: Pnma. Its calculated volume is 87.5 Å³/f.u.

abc: 8.1392 4.1696 10.3179
angles: 90.00 90.00 90.00
Fractional coordinates of all 12 atoms:
Bi 0.1572 0.2500 0.5226
Cd 0.6065 0.2500 0.3060
Sb 0.1602 0.2500 0.8377
Sb 0.6602 0.2500 0.6623
Cd 0.3935 0.7500 0.6940
Bi 0.3428 0.7500 0.0226
Cd 0.8935 0.7500 0.8060
Bi 0.6572 0.2500 0.9774
Cd 0.1065 0.2500 0.1940
Bi 0.8428 0.7500 0.4774
Sb 0.3398 0.7500 0.3377
Sb 0.8398 0.7500 0.1623

=====

4.
Compound: ZnNi15
Source: OQMD via LeMat-Bulk
Functional: GGA-PBE
Structure: optimized geometry

The calculation puts the magnetic moment at 17.5 μB per cell. The value obtained for the energy above the most stable polymorph in this dataset is 0.51 kcal/mol of atoms. As for the space group: P2_1/m. Its calculated volume is 290.6 Å³/f.u.

abc: 4.9647 3.4876 33.5692
angles: 90.00 90.00 90.00
Site moments in Bohr magnetons follow the coordinates.
Fractional coordinates of all 32 atoms:
Ni 0.6250 0.0000 0.2965  0.64
Ni 0.1250 0.0000 0.3707  0.62
Ni 0.1249 0.0000 0.4445  0.64
Ni 0.1272 0.0000 0.7413  0.44
Ni 0.3750 0.5000 0.5555  0.62
Ni 0.6248 0.0000 0.5924  0.63
Ni 0.1250 0.0000 0.2968  0.56
Ni 0.6228 0.0000 0.7413  0.44
Ni 0.8751 0.5000 0.5555  0.64
Ni 0.6250 0.0000 0.2241  0.56
Ni 0.8750 0.5000 0.6293  0.63
Ni 0.6250 0.0000 0.4445  0.62
Ni 0.1248 0.0000 0.6664  0.61
Ni 0.3752 0.5000 0.4076  0.63
Zn 0.1250 0.0000 0.2201  -0.03
Ni 0.6250 0.0000 0.3704  0.65
Ni 0.6249 0.0000 0.5185  0.63
Ni 0.8749 0.5000 0.4816  0.64
Ni 0.8748 0.5000 0.4076  0.63
Ni 0.3750 0.5000 0.7759  0.54
Ni 0.3750 0.5000 0.7035  0.61
Ni 0.8752 0.5000 0.3336  0.62
Ni 0.3750 0.5000 0.6297  0.65
Ni 0.8750 0.5000 0.7032  0.56
Ni 0.1252 0.0000 0.5924  0.63
Ni 0.3772 0.5000 0.2587  0.44
Ni 0.6252 0.0000 0.6664  0.62
Zn 0.8750 0.5000 0.7799  -0.03
Ni 0.1251 0.0000 0.5185  0.64
Ni 0.3748 0.5000 0.3336  0.62
Ni 0.3751 0.5000 0.4815  0.63
Ni 0.8728 0.5000 0.2587  0.44

=====

5.
Compound: LuFeIrPb
Source: OQMD via LeMat-Bulk
Functional: GGA-PBE
Structure: optimized geometry

The calculation puts the magnetic moment at 3.3 μB per cell. The value obtained for the energy above the most stable polymorph in this dataset is 3.58 kcal/mol of atoms. As for the space group: F-43m. Its calculated volume is 73.8 Å³/f.u.

abc: 4.7088 4.7088 4.7088
angles: 60.00 60.00 60.00
Fractional coordinates of all 4 atoms:
Pb 0.0000 0.0000 0.0000
Ir 0.5000 0.5000 0.5000
Lu 0.2500 0.2500 0.2500
Fe 0.7500 0.7500 0.7500

=====

6.
Compound: Mg2Os
Source: OQMD via LeMat-Bulk
Functional: GGA-PBE
Structure: optimized geometry

The calculation puts the magnetic moment at 0.0 μB per cell. Its raw total energy is -0.2057 Ry/atom. As for the space group: Fd-3m. Its calculated volume is 204.8 Å³/f.u.

abc: 8.3365 8.3365 8.3365
angles: 60.00 60.00 60.00
Fractional coordinates of all 6 atoms:
Mg 0.3750 0.8750 0.3750
Mg 0.3750 0.3750 0.8750
Mg 0.3750 0.3750 0.3750
Mg 0.8750 0.3750 0.3750
Os 0.2500 0.2500 0.2500
Os 0.5000 0.5000 0.5000